Hg2AuBr: relaxed, PBE.

```
Hg2AuBr
1.0
-0.2126 7.1683 -3.8270
-4.0395 5.9763 -3.7473
-2.4224 7.7412 -0.5313
Hg Au Br
2 1 1
Cartesian
-1.5986 5.0022 -1.9413
-6.6311 20.7500 -8.0530
-3.3514 10.4871 -4.0700
-5.1052 15.9751 -6.1998
```

Output
Its space group is R3m (160). For the density of states at the Fermi level, the calculation gives 1.52 states/eV per cell. The formation energy without anion corrections comes out at -1 meV per atom.

Hg2AuBr8: relaxed, PBE.

```
Hg2AuBr8
1.0
-0.9392 -0.2346 6.4167
-2.3524 -5.3854 -3.8225
11.3965 -1.4400 1.6155
Au Hg Br
1 2 8
Cartesian
0.0000 0.0000 0.0000
4.1934 -2.0927 0.5373
3.9115 -4.9673 3.6723
0.2995 -1.8439 1.6114
-0.1717 -1.9616 4.8309
4.1084 -2.4804 3.7920
8.2766 -5.0983 -0.6213
7.3666 -1.8314 1.0113
3.9965 -4.5796 0.4176
7.8054 -5.2160 2.5982
0.7383 -5.2286 3.1983
```

Output
Its space group is C2/m (12). For the density of states at the Fermi level, the calculation gives 4.21 states/eV per cell. The formation energy without anion corrections comes out at -231 meV per atom.

Hg2AuBr: relaxed, PBE.

```
Hg2AuBr
1.0
-1.4363 -2.6863 6.1771
-4.3536 -5.0491 1.7290
5.0211 1.9125 -4.3089
Br Hg Au
1 2 1
Cartesian
0.3449 -2.3207 2.9106
0.0000 0.0000 0.0000
-2.8949 -3.8677 3.9530
-1.1137 -3.5021 0.6865
```

Output
Its space group is I4/mmm (139). For the density of states at the Fermi level, the calculation gives 0.74 states/eV per cell. The formation energy without anion corrections comes out at 116 meV per atom.

Hg3AuBr: relaxed, PBE.

```
Hg3AuBr
1.0
7.3445 -0.5979 -0.7425
-0.8132 9.1839 1.0812
-0.8132 -0.9027 9.2031
Hg Au Br
12 4 4
Cartesian
5.8279 5.7633 8.3909
0.6785 4.4606 2.0239
-0.1097 1.9200 1.1509
3.3872 5.9921 1.4756
2.3310 1.6911 8.0663
6.0032 7.2209 3.0016
1.3674 6.9564 5.1234
2.1556 7.2673 7.7918
5.0396 3.2227 7.5179
-0.2851 0.4623 6.5402
4.3508 0.7269 4.4184
3.5625 0.4159 1.7500
1.0230 7.2281 2.3500
4.6952 0.4551 7.1918
1.0230 -0.6824 8.7197
4.6952 8.3657 0.8221
1.2407 4.1862 7.7137
4.4775 3.4971 1.8282
0.8053 1.3390 4.1778
4.9129 6.3442 5.3640
```

Output
Its space group is C2/c (15). For the density of states at the Fermi level, the calculation gives 3.51 states/eV per cell. The formation energy without anion corrections comes out at -95 meV per atom.

HgAuBr: relaxed, PBE.

```
HgAuBr
1.0
3.9867 0.0000 0.0000
-1.9934 3.4526 0.0000
0.0000 0.0000 5.6301
Br Au Hg
1 1 1
Cartesian
1.9934 1.1509 1.7170
0.0000 0.0000 5.5753
0.0000 2.3017 3.9679
```

Output
Its space group is P3m1 (156). For the density of states at the Fermi level, the calculation gives 0.36 states/eV per cell. The formation energy without anion corrections comes out at -8 meV per atom.

HgAuBr: relaxed, PBE.

```
HgAuBr
1.0
4.8652 0.0000 0.0000
2.4326 4.2134 0.0000
2.4326 1.4045 3.9724
Au Hg Br
1 1 1
Cartesian
7.2978 4.2134 2.9793
4.8652 2.8089 1.9862
0.0000 0.0000 0.0000
```

Output
Its space group is F-43m (216). For the density of states at the Fermi level, the calculation gives 0.99 states/eV per cell. The formation energy without anion corrections comes out at 127 meV per atom.

The lowest formation energy without anion corrections belongs to which entry? Hg2AuBr8

Number 6 is which compound? HgAuBr

Which of these has the lowest formation energy without anion corrections? Hg2AuBr8

Look up the formation energy without anion corrections of the sixth one. 127 meV per atom